Material: MnRuF2
Method: DFT, GGA+U
State: optimized geometry

## Properties
As for the space group: R-3m. The value obtained for the total magnetization is 5.6 Bohr magnetons per cell. As for the energy above the most stable polymorph in this dataset: 0.0000 eV per atom. The value obtained for the density of states at the Fermi level is 2.754 states/eV per cell.

Lattice parameters (Å, degrees): 7.547 7.547 7.547 21.76 21.76 21.76
Positions (direct):
Mn: 0.000 0.000 0.000
Ru: 0.500 0.500 0.500
F: 0.403 0.403 0.403
F: 0.597 0.597 0.597